1.
MoSe: optimized geometry, GGA-PBE.

Cell lengths 5.673, 5.673, 5.673 Å; angles 90.00, 90.00, 90.00 degrees
Atoms (fractional coordinates):
Mo (0.000, 0.000, 0.000)
Mo (0.000, 0.500, 0.500)
Mo (0.500, 0.000, 0.500)
Mo (0.500, 0.500, 0.000)
Se (0.250, 0.250, 0.750)
Se (0.250, 0.750, 0.250)
Se (0.750, 0.250, 0.250)
Se (0.750, 0.750, 0.750)

***

2.
BaHoAsO: optimized geometry, GGA-PBE.

Cell lengths 4.466, 4.466, 9.508 Å; angles 90.00, 90.00, 90.00 degrees
Atoms (fractional coordinates):
Ba (0.250, 0.750, 0.000)
Ba (0.750, 0.250, 0.000)
Ho (0.250, 0.250, 0.425)
Ho (0.750, 0.750, 0.575)
As (0.250, 0.250, 0.764)
As (0.750, 0.750, 0.236)
O (0.250, 0.750, 0.500)
O (0.750, 0.250, 0.500)

***

3.
KP2IrSeS6: optimized geometry, GGA-PBE.

Cell lengths 6.567, 6.567, 6.465 Å; angles 95.52, 95.52, 93.60 degrees
Atoms (fractional coordinates):
K (0.000, 0.000, 0.000)
P (0.057, 0.522, 0.421)
P (0.478, 0.943, 0.579)
Ir (0.606, 0.394, 0.500)
Se (0.128, 0.872, 0.500)
S (0.288, 0.393, 0.280)
S (0.478, 0.211, 0.771)
S (0.607, 0.712, 0.720)
S (0.613, 0.054, 0.334)
S (0.789, 0.522, 0.229)
S (0.946, 0.387, 0.666)

***

| no. | VASP energy (eV per cell) |
| --- | --- |
| 1 | -53.61 |
| 2 | -44.55 |
| 3 | -53.76 |